No. 1
# Tl4SnPb5 (PBE-GGA, optimized geometry)
# formation energy from the elements	-0.010	eV/atom
# magnetic moment	0.00	μB/atom
data_Tl4SnPb5
_symmetry_space_group_name_H-M 'P 4/m m m'
_symmetry_Int_Tables_number 123
_symmetry_space_group_name_Hall '-P 4 2'
_cell_length_a 3.512
_cell_length_b 3.512
_cell_length_c 24.892
_cell_angle_alpha 90.00
_cell_angle_beta 90.00
_cell_angle_gamma 90.00
loop_
_atom_site_label
_atom_site_type_symbol
_atom_site_fract_x
_atom_site_fract_y
_atom_site_fract_z
_atom_site_occupancy
Tl1 Tl 0.000 0.000 0.100 1
Tl2 Tl 0.000 0.000 0.301 1
Sn1 Sn 0.000 0.000 0.500 1
Pb1 Pb 0.500 0.500 0.000 1
Pb2 Pb 0.500 0.500 0.201 1
Pb3 Pb 0.500 0.500 0.405 1

=====

No. 2
# Sc2ReSi (PBE-GGA, optimized geometry)
# energy relative to the elements, uncorrected	0.335	eV per atom
# magnetic moment	0.00	μB/atom
data_Sc2ReSi
_symmetry_space_group_name_H-M 'R -3 m'
_symmetry_Int_Tables_number 166
_symmetry_space_group_name_Hall '-R 3 2"'
_cell_length_a 3.1060
_cell_length_b 3.1060
_cell_length_c 28.8746
_cell_angle_alpha 90.00
_cell_angle_beta 90.00
_cell_angle_gamma 120.00
loop_
_atom_site_label
_atom_site_type_symbol
_atom_site_fract_x
_atom_site_fract_y
_atom_site_fract_z
_atom_site_occupancy
Sc1 Sc 0.0000 0.0000 0.0961 1
Re1 Re 0.0000 0.0000 0.5000 1
Si1 Si 0.0000 0.0000 0.0000 1

=====

No. 3
# TlAgRu (PBE-GGA, optimized geometry)
# distance to the lowest polymorph of the same formula	0.059	eV per formula unit
# formation energy from the elements	0.632	eV/atom
# magnetic moment	0.29	μB/atom
data_TlAgRu
_symmetry_space_group_name_H-M 'P 3 m 1'
_symmetry_Int_Tables_number 156
_cell_length_a 4.6381
_cell_length_b 4.6381
_cell_length_c 2.9802
_cell_angle_alpha 90.00
_cell_angle_beta 90.00
_cell_angle_gamma 120.00
loop_
_symmetry_equiv_pos_as_xyz
'x,y,z'
'-y,x-y,z'
'-x+y,-x,z'
'-y,-x,z'
'-x+y,y,z'
'x,x-y,z'
loop_
_atom_site_label
_atom_site_type_symbol
_atom_site_fract_x
_atom_site_fract_y
_atom_site_fract_z
_atom_site_occupancy
Tl1 Tl 0.0000 0.0000 0.0000 1
Ag1 Ag 0.6667 0.3333 0.2793 1
Ru1 Ru 0.3333 0.6667 0.6759 1